(1)
Density functional theory data (PBE-GGA) for a geometry-optimized Cd2TcOs structure.

a = 6.000 Å, b = 6.000 Å, c = 6.000 Å
α = 101.02°, β = 101.02°, γ = 128.14°
Atoms (fractional coordinates):
Cd: 0.120 0.125 0.495
Cd: 0.375 0.880 0.005
Cd: 0.630 0.625 0.505
Cd: 0.875 0.370 0.995
Tc: 0.250 0.750 0.500
Tc: 0.500 0.500 0.000
Os: 0.000 0.000 0.000
Os: 0.750 0.250 0.500

Summary:
**ρ**: 11.15 Mg/m³
**Space-group type**: I-42d, No. 122
**Final energy**: -4.67 eV per atom
**Energy above the most stable polymorph in this dataset**: 1026 meV per atom
**Formation energy from the elements**: 1184 meV per atom

=====

(2)
Density functional theory data (PBE-GGA) for a geometry-optimized TbLuBeOs structure.

a = 4.787 Å, b = 4.787 Å, c = 4.787 Å
α = 60.00°, β = 60.00°, γ = 60.00°
Atoms (fractional coordinates):
Tb: 0.000 0.000 0.000
Lu: 0.500 0.500 0.500
Be: 0.250 0.250 0.250
Os: 0.750 0.750 0.750

Summary:
**ρ**: 11.41 Mg/m³
**Space-group type**: F-43m, No. 216
**Final energy**: -6.13 eV per atom
**Formation energy from the elements**: -105 meV per atom

=====

(3)
Density functional theory data (PBE-GGA) for a geometry-optimized NdCd2Hg2 structure.

a = 6.580 Å, b = 6.580 Å, c = 6.580 Å
α = 44.08°, β = 44.08°, γ = 44.08°
Atoms (fractional coordinates):
Nd: 0.000 0.000 0.000
Cd: 0.203 0.203 0.203
Cd: 0.797 0.797 0.797
Hg: 0.411 0.411 0.411
Hg: 0.589 0.589 0.589

Summary:
**ρ**: 10.21 Mg/m³
**Space-group type**: R-3m, No. 166
**Final energy**: -1.73 eV per atom
**Energy above the most stable polymorph in this dataset**: 0 meV per atom
**Formation energy from the elements**: -294 meV per atom

=====

(4)
Density functional theory data (PBE-GGA) for a geometry-optimized Li2CrH6 structure.

a = 4.625 Å, b = 4.625 Å, c = 4.625 Å
α = 60.00°, β = 60.00°, γ = 60.00°
Atoms (fractional coordinates):
Li: 0.250 0.250 0.250
Li: 0.750 0.750 0.750
Cr: 0.000 0.000 0.000
H: 0.259 0.259 0.741
H: 0.259 0.741 0.259
H: 0.259 0.741 0.741
H: 0.741 0.259 0.259
H: 0.741 0.259 0.741
H: 0.741 0.741 0.259

Summary:
**ρ**: 1.71 Mg/m³
**Space-group type**: Fm-3m, No. 225
**Final energy**: -3.59 eV per atom
**Energy above the most stable polymorph in this dataset**: 267 meV per atom

=====

(5)
Density functional theory data (PBE-GGA) for a geometry-optimized Nd2Cu2O5 structure.

a = 6.827 Å, b = 6.827 Å, c = 5.009 Å
α = 110.61°, β = 110.61°, γ = 34.51°
Atoms (fractional coordinates):
Nd: 0.119 0.119 0.328
Nd: 0.881 0.881 0.672
Cu: 0.403 0.403 0.205
Cu: 0.597 0.597 0.795
O: 0.089 0.089 0.798
O: 0.313 0.313 0.423
O: 0.500 0.500 0.000
O: 0.687 0.687 0.577
O: 0.911 0.911 0.202

Summary:
**ρ**: 6.69 Mg/m³
**Space-group type**: C2/m, No. 12
**Final energy**: -6.83 eV per atom
**Energy above the most stable polymorph in this dataset**: 0 meV per atom
**Formation energy without anion corrections**: -2.101 eV per atom

=====

(6)
Density functional theory data (PBE-GGA) for a geometry-optimized La2H2SeI structure.

a = 4.129 Å, b = 4.129 Å, c = 8.942 Å
α = 90.00°, β = 90.00°, γ = 120.00°
Atoms (fractional coordinates):
La: 0.333 0.667 0.211
La: 0.667 0.333 0.789
H: 0.333 0.667 0.757
H: 0.667 0.333 0.243
Se: 0.000 0.000 0.000
I: 0.000 0.000 0.500

Summary:
**ρ**: 6.11 Mg/m³
**Space-group type**: P-3m1, No. 164
**Final energy**: -4.85 eV per atom

=====

no.,DOS(E_F) (states/eV/f.u.)
1,3.89
2,3.15
3,2.41
4,8.38
5,2.94
6,2.96